Mn6O7F5, relaxed, DFT GGA+U; E above lowest polymorph = 0.0006 eV/atom; calculated total energy = -6.791 eV per atom; M_tot = 23.0 μB per formula unit
1.0
4.682 -3.137 0.000
4.682 3.137 0.000
-3.686 0.000 7.092
Mn O F
6 7 5
Cartesian
0.000 0.000 0.000
-1.687 0.000 3.314
1.785 0.000 2.315
0.078 0.000 5.797
5.569 0.000 1.154
3.853 0.000 4.613
1.849 1.916 2.314
-0.077 0.000 1.861
1.014 1.232 6.999
3.864 1.904 4.577
1.849 -1.916 2.314
1.014 -1.232 6.999
3.864 -1.904 4.577
1.905 0.000 0.074
1.887 0.000 4.457
3.766 0.000 2.507
3.791 0.000 6.806
5.767 0.000 5.067

Mn3OF5, relaxed, DFT GGA+U; E above lowest polymorph = 0.0329 eV/atom; calculated total energy = -6.489 eV per atom; M_tot = 14.0 μB per formula unit
1.0
5.924 0.000 0.000
0.000 4.858 0.000
-0.307 0.000 8.114
Mn O F
6 2 10
Cartesian
0.303 0.000 2.658
1.191 2.435 8.007
2.215 4.670 5.436
3.402 2.241 2.678
4.426 0.006 0.107
5.313 2.429 5.456
1.086 3.260 6.347
4.531 0.831 1.767
0.271 3.784 0.758
0.555 0.852 4.574
1.580 1.497 1.703
2.100 3.799 3.463
2.401 0.962 7.327
3.215 3.391 0.786
3.517 1.370 4.651
4.036 3.926 6.411
5.061 3.281 3.539
5.345 1.355 7.356

Mn4O7F, relaxed, DFT GGA+U; E above lowest polymorph = 0.0011 eV/atom; calculated total energy = -6.980 eV per atom; M_tot = 13.0 μB per formula unit
1.0
5.494 0.000 0.000
0.000 4.962 0.000
-0.224 0.000 8.959
Mn O F
8 14 2
Cartesian
0.374 0.000 3.389
0.381 0.057 7.837
1.898 2.507 7.936
2.133 2.595 3.360
3.138 0.114 5.599
3.372 0.026 1.023
4.889 2.538 1.122
4.896 2.481 5.570
0.590 3.385 6.836
0.699 3.395 2.285
0.544 1.659 8.933
0.685 1.669 4.327
1.772 0.932 6.836
1.749 4.149 8.921
1.871 4.202 4.390
3.399 1.720 4.569
3.522 1.668 0.038
3.498 3.413 2.124
4.585 4.150 4.632
4.726 4.140 0.026
4.681 0.904 2.123
4.572 0.913 6.674
2.022 0.887 2.239
3.248 3.368 6.720